*i*
ZrCdB3 | the Alexandria database | PBE | relaxed; SG = Pm-3m
1.0
4.239 0.000 0.000
0.000 4.239 0.000
0.000 0.000 4.239
B Zr Cd
3 1 1
direct
0.000 0.500 0.000 B
0.000 0.000 0.500 B
0.500 0.000 0.000 B
0.500 0.500 0.500 Zr
0.000 0.000 0.000 Cd

*ii*
ZrCdB3 | the Alexandria database | PBE | relaxed; SG = Pm-3m
1.0
-2.414 -1.561 -3.413
-1.301 -3.458 2.502
-3.520 2.348 1.416
B Cd Zr
3 1 1
direct
0.000 0.500 0.000 B
0.000 0.000 0.500 B
0.500 0.000 0.000 B
0.500 0.500 0.500 Cd
0.000 0.000 0.000 Zr

Question: of the structures shown, which is the least stable? Reply: *i*.